Entry 1:
Density functional theory data (GGA-PBE) for a relaxed Pm3YHo12 crystal.

Properties
Formation enthalpy at 0 K (eV/atom): 0.021

a b c (Å): 5.022 5.022 20.104
angles (deg): 90.00 90.00 90.00
Positions (direct):
Pm 0.000 0.000 0.250
Pm 0.000 0.000 0.750
Pm 0.000 0.000 0.500
Ho 0.000 0.500 0.124
Ho 0.500 0.000 0.876
Ho 0.000 0.500 0.876
Ho 0.500 0.500 0.000
Ho 0.500 0.500 0.249
Ho 0.500 0.500 0.751
Ho 0.500 0.500 0.500
Ho 0.000 0.500 0.375
Ho 0.500 0.000 0.124
Ho 0.500 0.000 0.625
Ho 0.000 0.500 0.625
Ho 0.500 0.000 0.375
Y 0.000 0.000 0.000

---

Entry 2:
Density functional theory data (GGA-PBE) for a relaxed PaRuS2 crystal.

Properties
Raw formation energy (kJ/mol of atoms): -19.9

a b c (Å): 3.692 3.692 7.651
angles (deg): 76.04 76.04 60.00
Each line ends with the local moment (μB).
Positions (direct):
Pa 0.000 0.000 0.000  0.36
S 0.118 0.118 0.645  -0.01
S 0.882 0.882 0.355  -0.01
Ru 0.500 0.500 0.500  -0.01

---

Entry 3:
Density functional theory data (GGA-PBE) for a relaxed Cd11InHg17 crystal.

Properties
Formation enthalpy at 0 K (eV/atom): 0.023

a b c (Å): 10.219 10.219 10.193
angles (deg): 111.97 111.97 111.83
Positions (direct):
Cd 0.635 0.013 0.824
Cd 0.008 0.821 0.638
Cd 0.636 0.822 0.007
Cd 0.013 0.635 0.824
Cd 0.739 0.193 0.194
Cd 0.138 0.372 0.370
Cd 0.372 0.138 0.370
Cd 0.821 0.008 0.638
Cd 0.193 0.739 0.194
Cd 0.191 0.191 0.742
Cd 0.822 0.636 0.007
Hg 0.021 0.021 0.342
Hg 0.429 0.694 0.438
Hg 0.721 0.721 0.722
Hg 0.713 0.713 0.279
Hg 0.296 0.961 0.565
Hg 0.961 0.296 0.565
Hg 0.276 0.701 0.700
Hg 0.345 0.012 0.015
Hg 0.427 0.427 0.682
Hg 0.694 0.429 0.438
Hg 0.302 0.565 0.959
Hg 0.012 0.345 0.015
Hg 0.701 0.276 0.700
Hg 0.957 0.565 0.300
Hg 0.060 0.060 0.056
Hg 0.565 0.957 0.300
Hg 0.565 0.302 0.959
In 0.388 0.388 0.160

---

Entry 4:
Density functional theory data (GGA-PBE) for a relaxed YMn2Cr crystal.

Properties
Formation enthalpy at 0 K (eV/atom): 0.380

a b c (Å): 3.491 3.172 7.159
angles (deg): 63.74 90.00 90.00
Each line ends with the local moment (μB).
Positions (direct):
Y 0.000 0.516 0.484  -0.10
Cr 0.500 0.661 0.839  -2.38
Mn 0.500 0.306 0.194  2.94
Mn 0.000 0.016 0.983  3.04

---

Entry 5:
Density functional theory data (GGA-PBE) for a relaxed HgGeOsBr2 crystal.

Properties
Raw formation energy (kJ/mol of atoms): 116.2

a b c (Å): 5.381 5.340 5.381
angles (deg): 90.00 90.00 90.00
Each line ends with the local moment (μB).
Positions (direct):
Br 0.000 0.000 0.500  0.07
Br 0.500 0.000 0.000  0.07
Hg 0.000 0.500 0.000  -0.01
Os 0.500 0.500 0.500  3.36
Ge 0.000 0.000 0.000  -0.02

---

Entry 6:
Density functional theory data (GGA-PBE) for a relaxed CrNi2H4 crystal.

a b c (Å): 5.243 5.243 5.242
angles (deg): 120.43 120.43 89.32
Each line ends with the local moment (μB).
Positions (direct):
Ni 0.625 0.375 0.750  0.17
Ni 0.625 0.375 0.250  0.17
Ni 0.125 0.375 0.750  0.18
Ni 0.625 0.875 0.250  0.18
H 0.815 0.603 0.212  -0.01
H 0.397 0.609 0.212  -0.01
H 0.397 0.185 0.788  -0.01
H 0.853 0.565 0.712  -0.01
H 0.391 0.603 0.788  -0.01
H 0.435 0.147 0.288  -0.01
H 0.859 0.147 0.712  -0.01
H 0.853 0.141 0.288  -0.01
Cr 0.250 0.750 0.500  3.51
Cr 0.000 0.000 0.000  3.51

---

Entry 7:
Density functional theory data (GGA-PBE) for a relaxed LaPmHo2Er2 crystal.

Properties
Formation enthalpy at 0 K (eV/atom): 0.072

a b c (Å): 5.673 9.853 6.957
angles (deg): 90.00 90.00 90.00
Positions (direct):
La 0.500 0.500 0.500
La 0.000 0.000 0.000
Pm 0.500 0.500 0.000
Pm 0.000 0.000 0.500
Er 0.500 0.834 0.749
Er 0.000 0.666 0.249
Er 0.500 0.166 0.251
Er 0.000 0.334 0.751
Ho 0.500 0.167 0.749
Ho 0.000 0.667 0.751
Ho 0.000 0.333 0.249
Ho 0.500 0.833 0.251

---

Entry 8:
Density functional theory data (GGA-PBE) for a relaxed TcSb4Ru crystal.

Properties
Raw formation energy (kJ/mol of atoms): -10.8

a b c (Å): 6.153 5.967 8.485
angles (deg): 110.65 111.32 89.84
Positions (direct):
Sb 0.506 0.138 0.380
Sb 0.126 0.258 0.620
Sb 0.752 0.497 0.883
Sb 0.874 0.742 0.380
Sb 0.494 0.862 0.620
Sb 0.131 0.886 0.883
Sb 0.248 0.503 0.117
Sb 0.869 0.114 0.117
Ru 0.797 0.547 0.594
Ru 0.203 0.453 0.406
Tc 0.542 0.792 0.083
Tc 0.458 0.208 0.917

---

Entry 9:
Density functional theory data (GGA-PBE) for a relaxed TlCdAg2 crystal.

Properties
Formation enthalpy at 0 K (eV/atom): 0.069

a b c (Å): 4.834 3.271 5.376
angles (deg): 89.72 90.00 90.00
Positions (direct):
Tl 0.500 0.627 0.805
Ag 0.000 0.127 0.967
Ag 0.500 0.124 0.298
Cd 0.000 0.622 0.431

---

Entry 10:
Density functional theory data (GGA-PBE) for a relaxed SrPa2TeO8 crystal.

Properties
Raw formation energy (kJ/mol of atoms): -271.8

a b c (Å): 5.165 5.169 7.210
angles (deg): 90.00 90.00 88.55
Positions (direct):
O 0.206 0.794 0.778
O 0.794 0.206 0.222
O 0.206 0.794 0.222
O 0.330 0.329 0.500
O 0.308 0.308 0.000
O 0.794 0.206 0.778
O 0.670 0.671 0.500
O 0.692 0.692 0.000
Sr 0.000 0.000 0.500
Te 0.000 0.000 0.000
Pa 0.500 0.500 0.249
Pa 0.500 0.500 0.751

---

Entry 11:
Density functional theory data (GGA-PBE) for a relaxed Fe14GeMo crystal.

Properties
Formation enthalpy at 0 K (eV/atom): 0.004

a b c (Å): 4.966 4.966 8.107
angles (deg): 90.00 90.00 108.94
Each line ends with the local moment (μB).
Positions (direct):
Fe 0.376 0.624 0.248  2.42
Fe 0.874 0.126 0.247  2.42
Fe 0.875 0.625 0.756  2.08
Fe 0.375 0.125 0.244  2.08
Fe 0.375 0.125 0.756  2.08
Fe 0.376 0.624 0.752  2.42
Fe 0.625 0.875 0.000  2.28
Fe 0.125 0.875 0.000  2.39
Fe 0.625 0.375 0.000  2.48
Fe 0.125 0.375 0.500  1.65
Fe 0.875 0.625 0.244  2.08
Fe 0.125 0.375 0.000  2.28
Fe 0.625 0.875 0.500  1.65
Fe 0.874 0.126 0.753  2.42
Mo 0.125 0.875 0.500  -0.57
Ge 0.625 0.375 0.500  -0.10

---

Entry 12:
Density functional theory data (GGA-PBE) for a relaxed PmNd7Y2 crystal.

Properties
Formation enthalpy at 0 K (eV/atom): 0.645

a b c (Å): 5.609 9.643 9.643
angles (deg): 126.29 90.00 90.00
Positions (direct):
Nd 0.000 0.208 0.792
Nd 0.500 0.710 0.931
Nd 0.500 0.290 0.069
Nd 0.500 0.069 0.290
Nd 0.500 0.500 0.500
Nd 0.500 0.931 0.710
Nd 0.000 0.792 0.208
Pm 0.000 0.000 0.000
Y 0.500 0.708 0.292
Y 0.500 0.292 0.708

---

Entry 13:
Density functional theory data (GGA-PBE) for a relaxed Rb3NiBr6 crystal.

Properties
Raw formation energy (kJ/mol of atoms): -107.1

a b c (Å): 7.801 8.475 11.158
angles (deg): 90.00 90.08 90.00
Each line ends with the local moment (μB).
Positions (direct):
Rb 0.973 0.422 0.757  0.00
Rb 0.000 0.000 0.500  0.00
Rb 0.027 0.578 0.243  0.00
Rb 0.473 0.078 0.257  0.00
Rb 0.527 0.922 0.743  0.00
Rb 0.500 0.500 0.000  0.00
Br 0.335 0.771 0.443  0.12
Br 0.408 0.527 0.704  0.00
Br 0.835 0.729 0.943  0.12
Br 0.744 0.151 0.958  0.00
Br 0.244 0.349 0.458  0.00
Br 0.092 0.027 0.796  0.00
Br 0.256 0.849 0.042  0.00
Br 0.592 0.473 0.296  0.00
Br 0.665 0.229 0.557  0.12
Br 0.908 0.973 0.204  0.00
Br 0.165 0.271 0.057  0.12
Br 0.756 0.651 0.542  0.00
Ni 0.500 0.500 0.500  0.66
Ni 0.000 0.000 0.000  0.66

---

Entry 14:
Density functional theory data (GGA-PBE) for a relaxed La2AsIr crystal.

Properties
Formation enthalpy at 0 K (eV/atom): -0.988

a b c (Å): 4.287 4.287 6.073
angles (deg): 90.00 90.00 90.00
Positions (direct):
La 0.000 0.000 0.880
La 0.500 0.500 0.357
As 0.000 0.000 0.381
Ir 0.500 0.500 0.882

---

Entry 15:
Density functional theory data (GGA-PBE) for a relaxed AlV2Fe3 crystal.

Properties
Formation enthalpy at 0 K (eV/atom): -0.287

a b c (Å): 2.876 4.050 6.351
angles (deg): 108.59 90.00 90.00
Each line ends with the local moment (μB).
Positions (direct):
Fe 0.500 0.500 0.000  0.07
Fe 0.500 0.829 0.658  0.43
Fe 0.500 0.171 0.342  0.43
V 0.000 0.336 0.671  -0.12
V 0.000 0.664 0.329  -0.12
Al 0.000 0.000 0.000  -0.01

---

Entry 16:
Density functional theory data (GGA-PBE) for a relaxed Cs3Mg2SnI9 crystal.

Properties
Raw formation energy (kJ/mol of atoms): -107.5

a b c (Å): 8.528 8.528 10.470
angles (deg): 90.00 90.00 120.00
Positions (direct):
I 0.172 0.828 0.325
I 0.500 0.500 0.000
I 0.345 0.172 0.675
I 0.000 0.500 0.000
I 0.655 0.828 0.325
I 0.828 0.655 0.675
I 0.500 0.000 0.000
I 0.828 0.172 0.675
I 0.172 0.345 0.325
Sn 0.000 0.000 0.500
Cs 0.000 0.000 0.000
Cs 0.333 0.667 0.668
Cs 0.667 0.333 0.332
Mg 0.667 0.333 0.843
Mg 0.333 0.667 0.157

---

Entry 17:
Density functional theory data (GGA-PBE) for a relaxed Zr2CoAu crystal.

Properties
Formation enthalpy at 0 K (eV/atom): -0.277

a b c (Å): 4.704 4.704 4.704
angles (deg): 60.00 60.00 60.00
Positions (direct):
Zr 0.250 0.250 0.250
Zr 0.750 0.750 0.750
Co 0.000 0.000 0.000
Au 0.500 0.500 0.500

---

Entry 18:
Density functional theory data (GGA-PBE) for a relaxed CoCuRh2 crystal.

Properties
Formation enthalpy at 0 K (eV/atom): 0.161

a b c (Å): 5.035 5.035 5.035
angles (deg): 147.56 129.38 61.41
Each line ends with the local moment (μB).
Positions (direct):
Co 0.506 0.506 0.000  1.87
Rh 0.260 0.760 0.500  0.56
Rh 0.993 0.993 0.000  0.55
Cu 0.740 0.240 0.500  0.06

---

Entry 19:
Density functional theory data (GGA-PBE) for a relaxed HgRuW2 crystal.

Properties
Formation enthalpy at 0 K (eV/atom): 0.413

a b c (Å): 2.848 2.848 8.176
angles (deg): 90.00 90.00 90.01
Positions (direct):
W 0.000 0.000 0.527
W 0.000 0.000 0.973
Ru 0.500 0.500 0.750
Hg 0.500 0.500 0.250

---

Entry 20:
Density functional theory data (GGA-PBE) for a relaxed CuPt crystal.

Properties
Formation enthalpy at 0 K (eV/atom): -0.065

a b c (Å): 2.734 3.761 10.919
angles (deg): 90.00 90.00 90.00
Positions (direct):
Cu 0.500 0.500 0.555
Cu 0.500 0.500 0.327
Cu 0.000 0.000 0.445
Cu 0.000 0.000 0.673
Pt 0.500 0.500 0.792
Pt 0.000 0.000 0.208
Pt 0.500 0.500 0.070
Pt 0.000 0.000 0.930

---

Entry 21:
Density functional theory data (GGA-PBE) for a relaxed RbPa2SeS5 crystal.

Properties
Raw formation energy (kJ/mol of atoms): -120.2

a b c (Å): 7.502 7.502 10.010
angles (deg): 112.01 112.01 90.00
Positions (direct):
S 0.260 0.043 0.803
S 0.500 0.500 0.000
S 0.543 0.760 0.803
S 0.240 0.740 0.197
S 0.000 0.000 0.000
S 0.740 0.957 0.197
S 0.043 0.543 0.803
S 0.957 0.457 0.197
S 0.457 0.240 0.197
S 0.760 0.260 0.803
Pa 0.337 0.837 0.000
Pa 0.837 0.663 0.000
Pa 0.163 0.337 0.000
Pa 0.663 0.163 0.000
Rb 0.250 0.250 0.500
Rb 0.750 0.750 0.500
Se 0.750 0.250 0.500
Se 0.250 0.750 0.500

---

Entry 22:
Density functional theory data (GGA-PBE) for a relaxed Sm2Y3Th3 crystal.

Properties
Formation enthalpy at 0 K (eV/atom): 0.167

a b c (Å): 3.668 9.109 9.109
angles (deg): 120.00 90.00 90.00
Positions (direct):
Sm 0.000 0.333 0.667
Sm 0.000 0.667 0.333
Th 0.000 0.226 0.226
Th 0.000 0.774 0.000
Th 0.000 0.000 0.774
Y 0.500 0.396 0.000
Y 0.500 0.000 0.396
Y 0.500 0.604 0.604

---

The evaluated magnetization for the records listed, in turn: 0.000; 0.116; 0.000; 0.879; 0.826; 0.588; 0.001; 0.000; 0.000; 0.000; 1.856; 0.000; 0.100; 0.000; 0.102; 0.000; 0.000; 0.746; 0.000; 0.000; 0.000; 0.000 μB per atom.
The evaluated electronic total energy for the records listed, in turn: -4.707; -6.963; -0.595; -8.227; -2.694; -4.875; -4.588; -6.134; -2.177; -8.107; -8.367; -4.460; -2.982; -6.829; -8.182; -2.694; -7.147; -6.315; -8.458; -5.134; -6.143; -6.219 eV per atom.